Here is YPuCuO6 after structural relaxation from Alexandria via LeMat-Bulk. Energies are from PBE.

Calculated values
Total energy in eV/atom: -8.27
Formation energy (no corrections) in kJ/mol of atoms: -212.5

Cell lengths 5.265, 5.265, 10.052 Å; angles 90.00, 90.00, 120.00 degrees
Fractional coordinates of all 18 atoms:
O1 0.355 0.010 0.137
O2 0.655 0.010 0.363
O3 0.345 0.355 0.863
O4 0.010 0.355 0.637
O5 0.010 0.655 0.863
O6 0.345 0.990 0.637
O7 0.645 0.990 0.863
O8 0.355 0.345 0.363
O9 0.655 0.645 0.137
O10 0.645 0.655 0.637
O11 0.990 0.645 0.363
O12 0.990 0.345 0.137
Cu1 0.667 0.333 0.750
Cu2 0.333 0.667 0.250
Y1 0.000 0.000 0.500
Y2 0.000 0.000 0.000
Pu1 0.667 0.333 0.250
Pu2 0.333 0.667 0.750